[1]
First-principles (PBE-GGA) data for SiAgGeN2 after structural relaxation, as listed in Alexandria via LeMat-Bulk.

Cell: 3.7235 3.7235 5.6934 Å, 90.00 90.00 90.00°
Element x y z (fractional)
Si  0.0000  0.0000  0.0000
Ag  0.5000  0.5000  0.0000
Ge  0.5000  0.5000  0.5000
N  0.0000  0.5000  0.5000
N  0.5000  0.0000  0.5000

V (Å³ per atom): 15.8
Magnetic moment (μB per formula unit): 0.73
Energy relative to the elements, uncorrected (meV/atom): 1398.5

---

[2]
First-principles (PBE-GGA) data for AgSnGe2N after structural relaxation, as listed in Alexandria via LeMat-Bulk.

Cell: 5.4527 5.4527 3.9794 Å, 90.00 90.00 90.00°
Element x y z (fractional)
Ag  0.0000  0.0000  0.0000
Sn  0.5000  0.5000  0.5000
Ge  0.0000  0.5000  0.5000
Ge  0.5000  0.0000  0.5000
N  0.5000  0.5000  0.0000

V (Å³ per atom): 23.7
Magnetic moment (μB per formula unit): 0.00
Energy relative to the elements, uncorrected (meV/atom): 1165.3

---

[3]
First-principles (PBE-GGA) data for AgGeTeN2 after structural relaxation, as listed in Alexandria via LeMat-Bulk.

Cell: 4.2065 4.2065 5.8738 Å, 90.00 90.00 90.00°
Element x y z (fractional)
Ag  0.0000  0.0000  0.0000
Ge  0.5000  0.5000  0.5000
Te  0.0000  0.0000  0.5000
N  0.0000  0.5000  0.0000
N  0.5000  0.0000  0.0000

V (Å³ per atom): 20.8
Magnetic moment (μB per formula unit): 3.25
Energy relative to the elements, uncorrected (meV/atom): 1733.6

---

[4]
First-principles (PBE-GGA) data for AgGeTeN2 after structural relaxation, as listed in Alexandria via LeMat-Bulk.

Cell: 3.8651 3.8651 6.1279 Å, 90.00 90.00 90.00°
Element x y z (fractional)
Ag  0.0000  0.0000  0.0000
Ge  0.5000  0.5000  0.5000
Te  0.5000  0.5000  0.0000
N  0.0000  0.5000  0.5000
N  0.5000  0.0000  0.5000

V (Å³ per atom): 18.3
Magnetic moment (μB per formula unit): 1.74
Energy relative to the elements, uncorrected (meV/atom): 1191.7